No. 1
The following is a DFT calculation (GGA-PBE) of crystalline Nd3Sm12Tl5 at its relaxed geometry.

a b c (Å): 18.5746 18.5746 18.5746
angles (deg): 90.00 90.00 90.00
Space group Ia-3d (No. 230)
Asymmetric unit:
Nd 0.0000 0.2500 0.1250 (multiplicity 24)
Sm 0.0220 0.0751 0.6461 (multiplicity 96)
Tl 0.0000 0.0000 0.0000 (multiplicity 16)
Tl 0.0000 0.2500 0.3750 (multiplicity 24)

Computed properties:
The density of states at the Fermi level is 35.09 states/eV/f.u. The value obtained for the energy relative to the elements is 0.474 eV per atom. The total magnetization comes out at 0.00 μB/f.u. As for the total energy: -3.6644 eV/atom.

No. 2
The following is a DFT calculation (GGA-PBE) of crystalline Nd2SmTl9 at its relaxed geometry.

a b c (Å): 4.8268 4.8268 14.4772
angles (deg): 90.00 90.00 90.00
Space group P4/mmm (No. 123)
Asymmetric unit:
Nd 0.0000 0.0000 0.1674 (multiplicity 2)
Sm 0.0000 0.0000 0.5000 (multiplicity 1)
Tl 0.0000 0.5000 0.0000 (multiplicity 2)
Tl 0.0000 0.5000 0.3347 (multiplicity 4)
Tl 0.5000 0.5000 0.1670 (multiplicity 2)
Tl 0.5000 0.5000 0.5000 (multiplicity 1)

Computed properties:
The density of states at the Fermi level is 4.85 states/eV/f.u. The value obtained for the energy relative to the elements is -0.310 eV per atom. The total magnetization comes out at 0.00 μB/f.u. As for the total energy: -3.2729 eV/atom.

No. 3
The following is a DFT calculation (GGA-PBE) of crystalline NdSm6Tl2 at its relaxed geometry.

a b c (Å): 13.1373 3.8324 12.1312
angles (deg): 90.00 108.15 90.00
Space group C2/m (No. 12)
Asymmetric unit:
Nd 0.0000 0.0000 0.0000 (multiplicity 2)
Sm 0.0100 0.0000 0.3436 (multiplicity 4)
Sm 0.1882 0.5000 0.8742 (multiplicity 4)
Sm 0.1913 0.5000 0.5843 (multiplicity 4)
Tl 0.1397 0.5000 0.2116 (multiplicity 4)

Computed properties:
The density of states at the Fermi level is 11.77 states/eV/f.u. The value obtained for the energy relative to the elements is -0.146 eV per atom. The total magnetization comes out at 0.00 μB/f.u. As for the total energy: -4.3481 eV/atom. For the energy above the most stable polymorph in this dataset, the calculation gives 0.000 eV per atom.

No. 4
The following is a DFT calculation (GGA-PBE) of crystalline NdSm6Tl4 at its relaxed geometry.

a b c (Å): 7.9515 7.9515 11.9142
angles (deg): 90.00 90.00 90.00
Space group I-42m (No. 121)
Asymmetric unit:
Nd 0.0000 0.0000 0.0000 (multiplicity 2)
Sm 0.0000 0.5000 0.0000 (multiplicity 4)
Sm 0.1865 0.1865 0.7148 (multiplicity 8)
Tl 0.1687 0.1687 0.4309 (multiplicity 8)

Computed properties:
The density of states at the Fermi level is 13.54 states/eV/f.u. The value obtained for the energy relative to the elements is -0.066 eV per atom. The total magnetization comes out at 0.00 μB/f.u. As for the total energy: -3.9344 eV/atom.

No. 5
The following is a DFT calculation (GGA-PBE) of crystalline NdSm2Tl at its relaxed geometry.

a b c (Å): 7.8959 7.8959 7.8959
angles (deg): 90.00 90.00 90.00
Space group Fm-3m (No. 225)
Asymmetric unit:
Nd 0.0000 0.0000 0.0000 (multiplicity 4)
Sm 0.2500 0.2500 0.2500 (multiplicity 8)
Tl 0.0000 0.0000 0.5000 (multiplicity 4)

Computed properties:
The density of states at the Fermi level is 5.89 states/eV/f.u. The value obtained for the energy relative to the elements is -0.038 eV per atom. The total magnetization comes out at 1.40 μB/f.u. As for the total energy: -4.1816 eV/atom. For the energy above the most stable polymorph in this dataset, the calculation gives 0.160 eV per atom.

No. 6
The following is a DFT calculation (GGA-PBE) of crystalline NdSm5Tl3 at its relaxed geometry.

a b c (Å): 9.5775 9.5775 6.8774
angles (deg): 90.00 90.00 120.00
Space group P6_3/mcm (No. 193)
Asymmetric unit:
Nd 0.0000 0.0000 0.0000 (multiplicity 2)
Sm 0.0000 0.3311 0.2500 (multiplicity 6)
Sm 0.3333 0.6667 0.0000 (multiplicity 4)
Tl 0.0000 0.3366 0.7500 (multiplicity 6)

Computed properties:
The density of states at the Fermi level is 11.44 states/eV/f.u. The value obtained for the energy relative to the elements is -0.266 eV per atom. The total magnetization comes out at 1.96 μB/f.u. As for the total energy: -4.2061 eV/atom. For the energy above the most stable polymorph in this dataset, the calculation gives 0.000 eV per atom.

No. 7
The following is a DFT calculation (GGA-PBE) of crystalline NdSmTl6 at its relaxed geometry.

a b c (Å): 4.8225 4.8225 9.6447
angles (deg): 90.00 90.00 90.00
Space group P4/mmm (No. 123)
Asymmetric unit:
Nd 0.0000 0.0000 0.0000 (multiplicity 1)
Sm 0.0000 0.0000 0.5000 (multiplicity 1)
Tl 0.0000 0.5000 0.2514 (multiplicity 4)
Tl 0.5000 0.5000 0.0000 (multiplicity 1)
Tl 0.5000 0.5000 0.5000 (multiplicity 1)

Computed properties:
The density of states at the Fermi level is 3.16 states/eV/f.u. The value obtained for the energy relative to the elements is -0.306 eV per atom. The total magnetization comes out at 0.00 μB/f.u. As for the total energy: -3.2669 eV/atom.

No. 8
The following is a DFT calculation (GGA-PBE) of crystalline NdSm4Tl4 at its relaxed geometry.

a b c (Å): 9.4133 9.4133 6.1769
angles (deg): 90.00 90.00 90.00
Space group P4_2/n (No. 86, origin choice 2)
Asymmetric unit:
Nd 0.2500 0.2500 0.2500 (multiplicity 2)
Sm 0.0851 0.8257 0.6281 (multiplicity 8)
Tl 0.0398 0.1467 0.8593 (multiplicity 8)

Computed properties:
The density of states at the Fermi level is 7.59 states/eV/f.u. The value obtained for the energy relative to the elements is -0.188 eV per atom. The total magnetization comes out at 0.00 μB/f.u. As for the total energy: -3.8669 eV/atom.

No. 9
The following is a DFT calculation (GGA-PBE) of crystalline Nd2Sm3Tl at its relaxed geometry.

a b c (Å): 5.2645 9.3221 15.9719
angles (deg): 90.00 90.00 90.00
Space group Imma (No. 74)
Asymmetric unit:
Nd 0.0000 0.2500 0.0271 (multiplicity 4)
Nd 0.0000 0.2500 0.3234 (multiplicity 4)
Sm 0.0000 0.0000 0.5000 (multiplicity 4)
Sm 0.0000 0.0384 0.8285 (multiplicity 8)
Tl 0.0000 0.2500 0.6466 (multiplicity 4)

Computed properties:
The density of states at the Fermi level is 8.08 states/eV/f.u. The value obtained for the energy relative to the elements is -0.098 eV per atom. The total magnetization comes out at 0.00 μB/f.u. As for the total energy: -4.4412 eV/atom. For the energy above the most stable polymorph in this dataset, the calculation gives 0.006 eV per atom.

No. 10
The following is a DFT calculation (GGA-PBE) of crystalline NdSm7Tl4 at its relaxed geometry.

a b c (Å): 14.8618 5.8520 10.5094
angles (deg): 90.00 122.98 90.00
Space group C2/m (No. 12)
Asymmetric unit:
Nd 0.0000 0.0000 0.0000 (multiplicity 2)
Sm 0.0000 0.5000 0.0000 (multiplicity 2)
Sm 0.0621 0.0000 0.3955 (multiplicity 4)
Sm 0.2052 0.0000 0.8800 (multiplicity 4)
Sm 0.2250 0.5000 0.6630 (multiplicity 4)
Tl 0.0578 0.5000 0.7466 (multiplicity 4)
Tl 0.1867 0.5000 0.3331 (multiplicity 4)

Computed properties:
The density of states at the Fermi level is 13.33 states/eV/f.u. The value obtained for the energy relative to the elements is -0.060 eV per atom. The total magnetization comes out at 0.00 μB/f.u. As for the total energy: -3.9990 eV/atom.

No. 11
The following is a DFT calculation (GGA-PBE) of crystalline NdSm2Tl at its relaxed geometry.

a b c (Å): 3.6894 3.6894 9.3617
angles (deg): 90.00 90.00 90.00
Space group P4/mmm (No. 123)
Asymmetric unit:
Nd 0.0000 0.0000 0.0000 (multiplicity 1)
Sm 0.5000 0.5000 0.2749 (multiplicity 2)
Tl 0.0000 0.0000 0.5000 (multiplicity 1)

Computed properties:
The density of states at the Fermi level is 4.49 states/eV/f.u. The value obtained for the energy relative to the elements is -0.170 eV per atom. The total magnetization comes out at 0.00 μB/f.u. As for the total energy: -4.3130 eV/atom. For the energy above the most stable polymorph in this dataset, the calculation gives 0.028 eV per atom.

No. 12
The following is a DFT calculation (GGA-PBE) of crystalline NdSm4Tl2 at its relaxed geometry.

a b c (Å): 6.5405 11.0837 6.9478
angles (deg): 90.00 114.13 90.00
Space group P2_1/c (No. 14)
Asymmetric unit:
Nd 0.0000 0.0000 0.0000 (multiplicity 2)
Sm 0.0010 0.1687 0.5009 (multiplicity 4)
Sm 0.4988 0.7218 0.4995 (multiplicity 4)
Tl 0.4509 0.9998 0.6943 (multiplicity 4)

Computed properties:
The density of states at the Fermi level is 8.09 states/eV/f.u. The value obtained for the energy relative to the elements is -0.087 eV per atom. The total magnetization comes out at 0.00 μB/f.u. As for the total energy: -4.1405 eV/atom. For the energy above the most stable polymorph in this dataset, the calculation gives 0.000 eV per atom.

No. 13
The following is a DFT calculation (GGA-PBE) of crystalline Nd5Sm2Tl4 at its relaxed geometry.

a b c (Å): 23.6339 3.6667 8.5264
angles (deg): 90.00 103.57 90.00
Space group C2/m (No. 12)
Asymmetric unit:
Nd 0.0000 0.0000 0.0000 (multiplicity 2)
Nd 0.1243 0.5000 0.9784 (multiplicity 4)
Nd 0.1746 0.5000 0.4467 (multiplicity 4)
Sm 0.2297 0.0000 0.8150 (multiplicity 4)
Tl 0.0278 0.5000 0.3287 (multiplicity 4)
Tl 0.0884 0.0000 0.6418 (multiplicity 4)

Computed properties:
The density of states at the Fermi level is 11.22 states/eV/f.u. The value obtained for the energy relative to the elements is -0.023 eV per atom. The total magnetization comes out at 0.00 μB/f.u. As for the total energy: -3.9086 eV/atom. For the energy above the most stable polymorph in this dataset, the calculation gives 0.179 eV per atom.

No. 14
The following is a DFT calculation (GGA-PBE) of crystalline Nd2Sm6Tl3 at its relaxed geometry.

a b c (Å): 4.6142 4.6142 34.4681
angles (deg): 90.00 90.00 90.00
Space group I4/mmm (No. 139)
Asymmetric unit:
Nd 0.0000 0.0000 0.0437 (multiplicity 4)
Sm 0.0000 0.0000 0.2138 (multiplicity 4)
Sm 0.0000 0.5000 0.1279 (multiplicity 8)
Tl 0.0000 0.0000 0.3056 (multiplicity 4)
Tl 0.0000 0.0000 0.5000 (multiplicity 2)

Computed properties:
The density of states at the Fermi level is 14.03 states/eV/f.u. The value obtained for the energy relative to the elements is 0.012 eV per atom. The total magnetization comes out at 0.00 μB/f.u. As for the total energy: -4.0742 eV/atom.

No. 15
The following is a DFT calculation (GGA-PBE) of crystalline Nd7Sm3Tl at its relaxed geometry.

a b c (Å): 7.1538 7.1538 8.7255
angles (deg): 90.00 90.00 120.00
Space group P3m1 (No. 156)
Asymmetric unit:
Nd 0.0000 0.0000 0.0000 (multiplicity 1)
Nd 0.1644 0.3289 0.3376 (multiplicity 3)
Nd 0.5021 0.0042 0.0101 (multiplicity 3)
Sm 0.3324 0.1662 0.6701 (multiplicity 3)
Tl 0.6667 0.3333 0.3448 (multiplicity 1)

Computed properties:
The density of states at the Fermi level is 16.38 states/eV/f.u. The value obtained for the energy relative to the elements is 0.117 eV per atom. The total magnetization comes out at 0.00 μB/f.u. As for the total energy: -4.4190 eV/atom.

No. 16
The following is a DFT calculation (GGA-PBE) of crystalline Nd6Sm12Tl at its relaxed geometry.

a b c (Å): 12.1258 12.1258 15.2768
angles (deg): 90.00 90.00 120.00
Space group R-3 (No. 148, hexagonal axes)
Asymmetric unit:
Nd 0.0157 0.5905 0.1850 (multiplicity 18)
Sm 0.0022 0.8284 0.3139 (multiplicity 18)
Sm 0.0460 0.1965 0.9163 (multiplicity 18)
Tl 0.0000 0.0000 0.5000 (multiplicity 3)

Computed properties:
The density of states at the Fermi level is 27.26 states/eV/f.u. The value obtained for the energy relative to the elements is 0.074 eV per atom. The total magnetization comes out at 0.00 μB/f.u. As for the total energy: -4.5365 eV/atom.

No. 17
The following is a DFT calculation (GGA-PBE) of crystalline NdSm7Tl2 at its relaxed geometry.

a b c (Å): 9.3263 15.8136 5.4544
angles (deg): 90.00 90.00 90.00
Space group Cmmm (No. 65)
Asymmetric unit:
Nd 0.0000 0.0000 0.0000 (multiplicity 2)
Sm 0.0000 0.2267 0.0000 (multiplicity 4)
Sm 0.0000 0.5000 0.5000 (multiplicity 2)
Sm 0.1818 0.1205 0.5000 (multiplicity 8)
Tl 0.0000 0.3058 0.5000 (multiplicity 4)

Computed properties:
The density of states at the Fermi level is 20.97 states/eV/f.u. The value obtained for the energy relative to the elements is 0.341 eV per atom. The total magnetization comes out at 0.00 μB/f.u. As for the total energy: -3.9122 eV/atom.

No. 18
The following is a DFT calculation (GGA-PBE) of crystalline Nd2SmTl3 at its relaxed geometry.

a b c (Å): 3.8720 3.8720 11.8179
angles (deg): 90.00 90.00 90.00
Space group P4/mmm (No. 123)
Asymmetric unit:
Nd 0.0000 0.0000 0.1685 (multiplicity 2)
Sm 0.0000 0.0000 0.5000 (multiplicity 1)
Tl 0.5000 0.5000 0.0000 (multiplicity 1)
Tl 0.5000 0.5000 0.3373 (multiplicity 2)

Computed properties:
The density of states at the Fermi level is 5.66 states/eV/f.u. The value obtained for the energy relative to the elements is -0.389 eV per atom. The total magnetization comes out at 0.00 μB/f.u. As for the total energy: -3.9480 eV/atom. For the energy above the most stable polymorph in this dataset, the calculation gives 0.000 eV per atom.

We obtain calculated volume values of 40.05 28.11 32.24 34.24 30.77 30.35 28.04 30.41 32.66 31.95 31.86 32.83 32.65 33.36 35.16 34.13 40.22 29.53 Å³/atom for the records listed above, in that order.